Entry P
Computed, not measured: a geometry-optimized TbSm2Pd2 structure at the GGA-PBE level of DFT.

Cell and atoms, written as POSCAR:
```
TbSm2Pd2
1.0
7.923 0.000 0.000
0.000 7.923 0.000
0.000 0.000 3.998
Tb Sm Pd
2 4 4
Direct
0.000 0.000 0.000
0.500 0.500 0.000
0.167 0.333 0.500
0.333 0.833 0.500
0.667 0.167 0.500
0.833 0.667 0.500
0.130 0.630 0.000
0.370 0.130 0.000
0.630 0.870 0.000
0.870 0.370 0.000
```

## Properties
- space-group type = P4/mbm, No. 127
- crystal system = tetragonal
- total moment (μB per cell) = 0.000
- D(E_F) (states/eV per cell) = 8.3

Entry Q
Computed, not measured: a geometry-optimized TbSm2Pd2 structure at the GGA-PBE level of DFT.

Cell and atoms, written as POSCAR:
```
TbSm2Pd2
1.0
1.967 -6.796 0.000
1.967 6.796 0.000
0.000 0.000 10.156
Tb Sm Pd
2 4 4
Direct
0.113 0.887 0.500
0.887 0.113 0.000
0.174 0.826 0.862
0.399 0.601 0.665
0.601 0.399 0.165
0.826 0.174 0.362
0.260 0.740 0.151
0.480 0.520 0.400
0.520 0.480 0.900
0.740 0.260 0.651
```

## Properties
- space-group type = Cmc2_1, No. 36
- crystal system = orthorhombic
- total moment (μB per cell) = 0.000
- D(E_F) (states/eV per cell) = 8.9

Relative energies in kJ/mol of atoms: entry P 0.0; entry Q 7.8

Entry P
Computed, not measured: a geometry-optimized Tb3SmPd structure at the GGA-PBE level of DFT.

Cell and atoms, written as POSCAR:
```
Tb3SmPd
1.0
8.798 -2.613 0.000
8.798 2.613 0.000
-0.780 0.000 6.295
Tb Sm Pd
6 2 2
Direct
0.039 0.039 0.273
0.205 0.205 0.063
0.318 0.318 0.602
0.682 0.682 0.398
0.795 0.795 0.937
0.961 0.961 0.727
0.410 0.410 0.145
0.590 0.590 0.855
0.151 0.151 0.624
0.849 0.849 0.376
```

## Properties
- space-group type = C2/m, No. 12
- crystal system = monoclinic
- total moment (μB per cell) = 0.001
- D(E_F) (states/eV per cell) = 13.8

Entry Q
Computed, not measured: a geometry-optimized Tb3SmPd structure at the GGA-PBE level of DFT.

Cell and atoms, written as POSCAR:
```
Tb3SmPd
1.0
5.494 0.000 0.000
0.000 5.494 0.000
0.000 0.000 5.494
Tb Sm Pd
3 1 1
Direct
0.000 0.000 0.500
0.000 0.500 0.000
0.500 0.000 0.000
0.500 0.500 0.500
0.000 0.000 0.000
```

## Properties
- space-group type = Pm-3m, No. 221
- crystal system = cubic
- total moment (μB per cell) = 0.002
- D(E_F) (states/eV per cell) = 9.4

Entry R
Computed, not measured: a geometry-optimized Tb3SmPd structure at the GGA-PBE level of DFT.

Cell and atoms, written as POSCAR:
```
Tb3SmPd
1.0
5.975 -4.312 0.000
5.975 4.312 0.000
-5.555 0.000 5.992
Tb Sm Pd
6 2 2
Direct
0.052 0.052 0.335
0.059 0.452 0.220
0.452 0.059 0.220
0.548 0.941 0.780
0.941 0.548 0.780
0.948 0.948 0.665
0.442 0.442 0.726
0.558 0.558 0.274
0.250 0.250 0.881
0.750 0.750 0.119
```

## Properties
- space-group type = C2/m, No. 12
- crystal system = monoclinic
- total moment (μB per cell) = 0.000
- D(E_F) (states/eV per cell) = 14.1

Relative energies in kJ/mol of atoms: entry P 0.0; entry Q 11.8; entry R 1.0

Entry P
Computed, not measured: a geometry-optimized Tb4SmPd2 structure at the GGA-PBE level of DFT.

Cell and atoms, written as POSCAR:
```
Tb4SmPd2
1.0
7.842 0.000 0.000
0.000 6.463 0.000
-3.167 0.000 7.535
Tb Sm Pd
8 2 4
Direct
0.021 0.250 0.390
0.246 0.750 0.350
0.406 0.006 0.769
0.406 0.494 0.769
0.594 0.506 0.231
0.594 0.994 0.231
0.754 0.250 0.650
0.979 0.750 0.610
0.152 0.250 0.025
0.848 0.750 0.975
0.246 0.750 0.994
0.383 0.250 0.419
0.617 0.750 0.581
0.754 0.250 0.006
```

## Properties
- space-group type = P2_1/m, No. 11
- crystal system = monoclinic
- total moment (μB per cell) = 0.000
- D(E_F) (states/eV per cell) = 18.5

Entry Q
Computed, not measured: a geometry-optimized Tb4SmPd2 structure at the GGA-PBE level of DFT.

Cell and atoms, written as POSCAR:
```
Tb4SmPd2
1.0
1.985 1.146 15.180
-1.985 1.146 15.180
0.000 -2.293 15.180
Tb Sm Pd
4 1 2
Direct
0.104 0.104 0.104
0.302 0.302 0.302
0.698 0.698 0.698
0.896 0.896 0.896
0.500 0.500 0.500
0.401 0.401 0.401
0.599 0.599 0.599
```

## Properties
- space-group type = R-3m, No. 166
- crystal system = trigonal
- total moment (μB per cell) = 0.001
- D(E_F) (states/eV per cell) = 8.8

Relative energies in kJ/mol of atoms: entry P 0.0; entry Q 6.0

Entry P
Computed, not measured: a geometry-optimized TbSmZnPd structure at the GGA-PBE level of DFT.

Cell and atoms, written as POSCAR:
```
TbSmZnPd
1.0
3.604 0.000 0.000
0.000 3.604 0.000
0.000 0.000 7.080
Tb Sm Zn Pd
1 1 1 1
Direct
0.000 0.000 0.000
0.000 0.000 0.510
0.500 0.500 0.248
0.500 0.500 0.768
```

## Properties
- space-group type = P4mm, No. 99
- crystal system = tetragonal
- total moment (μB per cell) = 0.000
- D(E_F) (states/eV per cell) = 3.4

Entry Q
Computed, not measured: a geometry-optimized TbSmZnPd structure at the GGA-PBE level of DFT.

Cell and atoms, written as POSCAR:
```
TbSmZnPd
1.0
7.168 0.000 0.000
0.000 7.168 0.000
0.000 0.000 7.168
Tb Sm Zn Pd
4 4 4 4
Direct
0.000 0.000 0.000
0.000 0.500 0.500
0.500 0.000 0.500
0.500 0.500 0.000
0.000 0.000 0.500
0.000 0.500 0.000
0.500 0.000 0.000
0.500 0.500 0.500
0.250 0.250 0.750
0.250 0.750 0.250
0.750 0.250 0.250
0.750 0.750 0.750
0.250 0.250 0.250
0.250 0.750 0.750
0.750 0.250 0.750
0.750 0.750 0.250
```

## Properties
- space-group type = F-43m, No. 216
- crystal system = cubic
- total moment (μB per cell) = 0.000
- D(E_F) (states/eV per cell) = 9.5

Relative energies in kJ/mol of atoms: entry P 0.0; entry Q 2.4

Entry P
Computed, not measured: a geometry-optimized Sm6Tl2Pd structure at the GGA-PBE level of DFT.

Cell and atoms, written as POSCAR:
```
Sm6Tl2Pd
1.0
8.922 0.000 0.000
-4.461 7.727 0.000
0.000 0.000 3.857
Sm Tl Pd
6 2 1
Direct
0.000 0.248 0.000
0.000 0.602 0.500
0.248 0.000 0.000
0.398 0.398 0.500
0.602 0.000 0.500
0.752 0.752 0.000
0.333 0.667 0.000
0.667 0.333 0.000
0.000 0.000 0.500
```

## Properties
- space-group type = P-62m, No. 189
- crystal system = hexagonal
- total moment (μB per cell) = 0.000
- D(E_F) (states/eV per cell) = 13.9

Entry Q
Computed, not measured: a geometry-optimized Sm6Tl2Pd structure at the GGA-PBE level of DFT.

Cell and atoms, written as POSCAR:
```
Sm6Tl2Pd
1.0
10.195 0.000 0.000
0.000 10.195 0.000
0.000 0.000 5.081
Sm Tl Pd
12 4 2
Direct
0.023 0.316 0.000
0.115 0.885 0.500
0.184 0.523 0.500
0.316 0.023 0.000
0.385 0.385 0.000
0.477 0.816 0.500
0.523 0.184 0.500
0.615 0.615 0.000
0.684 0.977 0.000
0.816 0.477 0.500
0.885 0.115 0.500
0.977 0.684 0.000
0.207 0.207 0.500
0.293 0.707 0.000
0.707 0.293 0.000
0.793 0.793 0.500
0.000 0.000 0.000
0.500 0.500 0.500
```

## Properties
- space-group type = P4_2/mnm, No. 136
- crystal system = tetragonal
- total moment (μB per cell) = 0.051
- D(E_F) (states/eV per cell) = 25.5

Relative energies in kJ/mol of atoms: entry P 0.0; entry Q 4.8

Entry P
Computed, not measured: a geometry-optimized Sm12TlPd6 structure at the GGA-PBE level of DFT.

Cell and atoms, written as POSCAR:
```
Sm12TlPd6
1.0
-5.098 5.098 5.098
5.098 -5.098 5.098
5.098 5.098 -5.098
Sm Tl Pd
12 1 6
Direct
0.115 0.816 0.299
0.184 0.299 0.483
0.184 0.701 0.885
0.299 0.115 0.816
0.299 0.483 0.184
0.483 0.184 0.299
0.517 0.816 0.701
0.701 0.517 0.816
0.701 0.885 0.184
0.816 0.299 0.115
0.816 0.701 0.517
0.885 0.184 0.701
0.000 0.000 0.000
0.134 0.634 0.500
0.366 0.500 0.866
0.500 0.134 0.634
0.500 0.866 0.366
0.634 0.500 0.134
0.866 0.366 0.500
```

## Properties
- space-group type = Im-3, No. 204
- crystal system = cubic
- total moment (μB per cell) = 0.000
- D(E_F) (states/eV per cell) = 14.7

Entry Q
Computed, not measured: a geometry-optimized Sm12TlPd6 structure at the GGA-PBE level of DFT.

Cell and atoms, written as POSCAR:
```
Sm12TlPd6
1.0
7.227 4.173 3.047
-7.227 4.173 3.047
0.000 -8.345 3.047
Sm Tl Pd
12 1 6
Direct
0.054 0.352 0.114
0.114 0.054 0.352
0.176 0.468 0.643
0.352 0.114 0.054
0.357 0.824 0.532
0.468 0.643 0.176
0.532 0.357 0.824
0.643 0.176 0.468
0.648 0.886 0.946
0.824 0.532 0.357
0.886 0.946 0.648
0.946 0.648 0.886
0.500 0.500 0.500
0.147 0.789 0.718
0.211 0.282 0.853
0.282 0.853 0.211
0.718 0.147 0.789
0.789 0.718 0.147
0.853 0.211 0.282
```

## Properties
- space-group type = R-3, No. 148
- crystal system = trigonal
- total moment (μB per cell) = 0.000
- D(E_F) (states/eV per cell) = 17.0

Relative energies in kJ/mol of atoms: entry P 0.0; entry Q 11.0

Entry P
Computed, not measured: a geometry-optimized SmTlPd6 structure at the GGA-PBE level of DFT.

Cell and atoms, written as POSCAR:
```
SmTlPd6
1.0
4.135 0.000 0.000
0.000 4.135 0.000
0.000 0.000 8.257
Sm Tl Pd
1 1 6
Direct
0.000 0.000 0.000
0.000 0.000 0.500
0.000 0.500 0.256
0.000 0.500 0.744
0.500 0.000 0.256
0.500 0.000 0.744
0.500 0.500 0.000
0.500 0.500 0.500
```

## Properties
- space-group type = P4/mmm, No. 123
- crystal system = tetragonal
- total moment (μB per cell) = 0.000
- D(E_F) (states/eV per cell) = 7.9

Entry Q
Computed, not measured: a geometry-optimized SmTlPd6 structure at the GGA-PBE level of DFT.

Cell and atoms, written as POSCAR:
```
SmTlPd6
1.0
3.727 2.152 3.467
-3.727 2.152 3.467
0.000 -4.304 3.467
Sm Tl Pd
1 1 6
Direct
0.000 0.000 0.000
0.500 0.500 0.500
0.161 0.161 0.530
0.161 0.530 0.161
0.470 0.839 0.839
0.530 0.161 0.161
0.839 0.470 0.839
0.839 0.839 0.470
```

## Properties
- space-group type = R-3m, No. 166
- crystal system = trigonal
- total moment (μB per cell) = 0.000
- D(E_F) (states/eV per cell) = 3.9

Relative energies in kJ/mol of atoms: entry P 0.0; entry Q 42.8

Entry P
Computed, not measured: a geometry-optimized SmTm2Pd structure at the GGA-PBE level of DFT.

Cell and atoms, written as POSCAR:
```
SmTm2Pd
1.0
3.538 0.000 0.000
0.000 3.538 0.000
0.000 0.000 8.464
Sm Tm Pd
1 2 1
Direct
0.000 0.000 0.000
0.500 0.500 0.305
0.500 0.500 0.695
0.000 0.000 0.500
```

## Properties
- space-group type = P4/mmm, No. 123
- crystal system = tetragonal
- total moment (μB per cell) = 0.000
- D(E_F) (states/eV per cell) = 4.6

Entry Q
Computed, not measured: a geometry-optimized SmTm2Pd structure at the GGA-PBE level of DFT.

Cell and atoms, written as POSCAR:
```
SmTm2Pd
1.0
3.650 0.000 0.000
-1.825 3.161 0.000
0.000 0.000 29.111
Sm Tm Pd
3 6 3
Direct
0.000 0.000 0.000
0.333 0.667 0.667
0.667 0.333 0.333
0.000 0.000 0.232
0.000 0.000 0.768
0.333 0.667 0.435
0.333 0.667 0.898
0.667 0.333 0.102
0.667 0.333 0.565
0.000 0.000 0.500
0.333 0.667 0.167
0.667 0.333 0.833
```

## Properties
- space-group type = R-3m, No. 166
- crystal system = trigonal
- total moment (μB per cell) = 0.000
- D(E_F) (states/eV per cell) = 11.7

Entry R
Computed, not measured: a geometry-optimized SmTm2Pd structure at the GGA-PBE level of DFT.

Cell and atoms, written as POSCAR:
```
SmTm2Pd
1.0
3.810 0.000 0.000
-1.905 3.300 0.000
0.000 0.000 27.472
Sm Tm Pd
3 6 3
Direct
0.000 0.000 0.000
0.333 0.667 0.667
0.667 0.333 0.333
0.000 0.000 0.561
0.000 0.000 0.769
0.333 0.667 0.227
0.333 0.667 0.435
0.667 0.333 0.102
0.667 0.333 0.894
0.000 0.000 0.164
0.333 0.667 0.831
0.667 0.333 0.497
```

## Properties
- space-group type = R3m, No. 160
- crystal system = trigonal
- total moment (μB per cell) = 0.000
- D(E_F) (states/eV per cell) = 13.1

Entry S
Computed, not measured: a geometry-optimized SmTm2Pd structure at the GGA-PBE level of DFT.

Cell and atoms, written as POSCAR:
```
SmTm2Pd
1.0
7.039 0.000 0.000
0.000 9.599 0.000
0.000 0.000 6.467
Sm Tm Pd
4 8 4
Direct
0.016 0.250 0.131
0.484 0.750 0.631
0.516 0.250 0.369
0.984 0.750 0.869
0.179 0.060 0.674
0.179 0.440 0.674
0.321 0.560 0.174
0.321 0.940 0.174
0.679 0.060 0.826
0.679 0.440 0.826
0.821 0.560 0.326
0.821 0.940 0.326
0.112 0.750 0.429
0.388 0.250 0.929
0.612 0.750 0.071
0.888 0.250 0.571
```

## Properties
- space-group type = Pnma, No. 62
- crystal system = orthorhombic
- total moment (μB per cell) = 0.001
- D(E_F) (states/eV per cell) = 18.5

Relative energies in kJ/mol of atoms: entry P 3.2; entry Q 15.8; entry R 14.6; entry S 0.0